(1)
The following is a DFT calculation (PBE) of a relaxed NaTcO3 crystal.

```
NaTcO3
1.0
-3.0896 -2.3457 -0.0985
1.8725 -2.5581 2.2366
-1.4163 1.7327 3.1675
O Na Tc
3 1 1
Direct
0.8385 0.2614 0.7180
0.3385 0.2614 0.2180
0.3385 0.7614 0.7180
0.8390 0.7603 0.2175
0.3385 0.2613 0.7180
```

## Properties
Magnetic moment: 0.0 μB/f.u.
E: -6.876 eV per atom
Symmetry: R3m, No. 160


(2)
The following is a DFT calculation (PBE) of a relaxed Tl4Hg10Sb crystal.

```
Tl4Hg10Sb
1.0
6.9774 -2.3001 2.0894
1.7791 3.0156 -0.0382
3.6611 -5.7520 18.7383
Tl Hg Sb
4 10 1
Direct
0.3369 0.1765 0.8212
0.7820 0.7434 0.6034
0.2180 0.2566 0.3966
0.6631 0.8235 0.1788
0.7294 0.1067 0.4642
0.9069 0.9154 0.8587
0.2706 0.8933 0.5358
0.4825 0.6919 0.9354
0.1574 0.6619 0.2659
0.0931 0.0846 0.1413
0.5175 0.3081 0.0646
0.8426 0.3381 0.7341
0.3149 0.5180 0.6677
0.6851 0.4820 0.3323
0.0000 0.0000 0.0000
```

## Properties
Magnetic moment: 0.0 μB/f.u.
E: -1.099 eV per atom
Symmetry: P-1, No. 2


(3)
The following is a DFT calculation (PBE) of a relaxed ErCoB crystal.

```
ErCoB
1.0
3.5215 0.0000 0.0000
0.0000 3.5215 0.0000
0.0000 0.0000 7.3918
B Co Er
2 2 2
Direct
0.2500 0.2500 0.1344
0.7500 0.7500 0.8656
0.2500 0.7500 0.0000
0.7500 0.2500 0.0000
0.7500 0.7500 0.3036
0.2500 0.2500 0.6964
```

## Properties
Magnetic moment: 0.0 μB/f.u.
ΔH_f (0 K): -48.3 kJ per mole of atoms
Energy above the lowest structure with this stoichiometry: 0.00 eV per formula unit
E: -6.616 eV per atom
Symmetry: P4/nmm, No. 129


(4)
The following is a DFT calculation (PBE) of a relaxed AlZn3Ga2 crystal.

```
AlZn3Ga2
1.0
-1.7329 -2.5194 -0.1941
3.3658 -2.7305 5.3915
-6.1363 5.5713 6.6522
Zn Ga Al
6 4 2
Direct
0.2400 0.2500 0.4801
0.4322 0.4386 0.8643
0.7600 0.7500 0.5199
0.4322 0.0614 0.8643
0.5678 0.9386 0.1357
0.5678 0.5614 0.1357
0.1594 0.7500 0.3189
0.8406 0.2500 0.6811
0.9740 0.7500 0.9479
0.0260 0.2500 0.0521
0.6393 0.2500 0.2786
0.3607 0.7500 0.7214
```

## Properties
Magnetic moment: 0.0 μB/f.u.
ΔH_f (0 K): 14.6 kJ per mole of atoms
Energy above the lowest structure with this stoichiometry: 0.58 eV per formula unit
E: -2.118 eV per atom
Symmetry: Cmcm, No. 63


no.,volume (Å³ per atom)
1,11.7
2,28.4
3,15.3
4,18.6